Entry 1:
Material: TbSc2SnC
Method: DFT, PBE
State: relaxed

```
TbSc2SnC
1.0
4.578 0.000 0.000
0.000 4.578 0.000
0.000 0.000 4.878
Tb Sc Sn C
1 2 1 1
Cartesian
0.000 0.000 0.000
0.000 2.289 2.439
2.289 0.000 2.439
2.289 2.289 0.000
0.000 0.000 2.439
```

## Properties
ΔH_f (0 K) = -0.71 eV/atom
VASP energy = -34.05 eV/cell



Entry 2:
Material: LaEr2Pd
Method: DFT, PBE
State: relaxed

```
LaEr2Pd
1.0
7.144 0.000 0.000
0.000 9.752 0.000
0.000 0.000 6.556
La Er Pd
4 8 4
Cartesian
0.120 2.438 0.897
3.452 7.314 4.175
3.692 2.438 2.381
7.023 7.314 5.659
1.262 0.602 4.395
1.262 4.273 4.395
2.309 5.478 1.118
2.309 9.149 1.118
4.834 0.602 5.438
4.834 4.273 5.438
5.881 5.478 2.160
5.881 9.149 2.160
0.825 7.314 2.755
2.747 2.438 6.033
4.397 7.314 0.523
6.319 2.438 3.801
```

## Properties
ΔH_f (0 K) = -0.46 eV/atom
VASP energy = -84.38 eV/cell
distance to the lowest polymorph of the same formula = 0.000 eV per formula unit



Entry 3:
Material: PrBPd3
Method: DFT, PBE
State: relaxed

```
PrBPd3
1.0
4.395 0.000 0.000
0.000 4.395 0.000
0.000 0.000 4.395
Pr B Pd
1 1 3
Cartesian
0.000 0.000 0.000
2.198 2.198 2.198
0.000 2.198 2.198
2.198 0.000 2.198
2.198 2.198 0.000
```

## Properties
ΔH_f (0 K) = -0.53 eV/atom
VASP energy = -29.70 eV/cell



Entry 4:
Material: NaTaSN2
Method: DFT, PBE
State: relaxed

```
NaTaSN2
1.0
4.076 0.000 0.000
0.000 4.076 0.000
0.000 0.000 4.977
Na Ta S N
1 1 1 2
Cartesian
0.000 0.000 0.000
2.038 2.038 2.488
2.038 2.038 0.000
0.000 2.038 2.488
2.038 0.000 2.488
```

## Properties
E_form (uncorrected) = -0.24 eV per atom
VASP energy = -35.14 eV/cell
distance to the lowest polymorph of the same formula = 0.000 eV per formula unit



Entry 5:
Material: BaNaTc2O7
Method: DFT, PBE
State: relaxed

```
BaNaTc2O7
1.0
-1.967 1.967 10.288
1.967 -1.967 10.288
1.967 1.967 -10.288
Ba Na Tc O
1 1 2 7
Cartesian
0.000 0.000 0.000
0.000 1.967 5.144
0.000 0.000 8.156
0.000 0.000 12.420
1.967 0.000 1.976
0.000 0.000 6.370
1.967 0.000 8.313
0.000 0.000 10.288
0.000 1.967 2.024
0.000 0.000 14.206
0.000 1.967 8.264
```

## Properties
E_form (uncorrected) = -1.70 eV per atom
VASP energy = -77.36 eV/cell



Entry 6:
Material: InPt4Br
Method: DFT, PBE
State: relaxed

```
InPt4Br
1.0
0.000 3.830 3.830
3.830 0.000 3.830
3.830 3.830 0.000
In Pt Br
1 4 1
Cartesian
0.000 0.000 0.000
4.790 2.870 2.870
2.870 4.790 2.870
2.870 2.870 4.790
4.790 4.790 4.790
1.915 1.915 1.915
```

## Properties
E_form (uncorrected) = 0.23 eV per atom
VASP energy = -27.16 eV/cell